# LiAlC

A geometry-optimized LiAlC structure (PBE, Alexandria).

abc: 11.087 11.087 3.109
angles: 90.00 90.00 14.24
Atoms (fractional coordinates):
C: 0.471 0.471 0.500
C: 0.529 0.529 0.500
Li: 0.411 0.411 0.000
Li: 0.589 0.589 0.000
Al: 0.194 0.194 0.500
Al: 0.806 0.806 0.500

Values from the calculation:
Its space group is Cmmm. For the formation energy, the calculation gives 656 meV per atom.

***

# MnTlPtSe

A geometry-optimized MnTlPtSe structure (PBE, Alexandria).

abc: 3.334 2.970 16.962
angles: 90.00 89.99 90.00
Atoms (fractional coordinates):
Pt: 0.126 0.500 0.443
Pt: 0.126 0.000 0.943
Tl: 0.626 0.000 0.314
Tl: 0.626 0.500 0.814
Se: 0.126 0.000 0.636
Se: 0.126 0.500 0.136
Mn: 0.626 0.500 0.030
Mn: 0.626 0.000 0.530

Values from the calculation:
The value obtained for the formation energy from raw total energies is -0.105 eV/atom. Its space group is Amm2.

***

# Nd2HfAl4Pt3

A geometry-optimized Nd2HfAl4Pt3 structure (PBE, Alexandria).

abc: 4.221 4.221 11.313
angles: 90.00 90.00 90.00
Atoms (fractional coordinates):
Nd: 0.500 0.000 0.241
Nd: 0.000 0.500 0.759
Al: 0.500 0.500 0.000
Al: 0.000 0.500 0.344
Al: 0.500 0.000 0.656
Al: 0.000 0.000 0.000
Pt: 0.500 0.000 0.875
Pt: 0.000 0.000 0.500
Pt: 0.000 0.500 0.125
Hf: 0.500 0.500 0.500

Values from the calculation:
Its space group is P-4m2. For the formation energy, the calculation gives -915 meV per atom.

***

# SrTaBr2

A geometry-optimized SrTaBr2 structure (PBE, Alexandria).

abc: 6.790 6.790 6.790
angles: 150.59 129.23 59.76
Atoms (fractional coordinates):
Br: 0.422 0.422 0.000
Br: 0.078 0.078 0.000
Sr: 0.750 0.250 0.500
Ta: 0.250 0.750 0.500

Values from the calculation:
The value obtained for the formation energy from raw total energies is -0.184 eV/atom. Its space group is Immm.

***

# BeAlAg2

A geometry-optimized BeAlAg2 structure (PBE, Alexandria).

abc: 2.978 3.037 7.137
angles: 65.43 90.00 90.00
Atoms (fractional coordinates):
Al: 0.500 0.250 0.250
Ag: 0.000 0.470 0.528
Ag: 0.000 0.030 0.972
Be: 0.500 0.750 0.750

Values from the calculation:
Its space group is P2/m. For the formation energy, the calculation gives 66 meV per atom.

***

# Pm8NdPb6

A geometry-optimized Pm8NdPb6 structure (PBE, Alexandria).

abc: 9.427 9.427 8.608
angles: 56.80 56.80 60.00
Atoms (fractional coordinates):
Pb: 0.735 0.404 0.792
Pb: 0.069 0.735 0.792
Pb: 0.931 0.265 0.208
Pb: 0.265 0.596 0.208
Pb: 0.596 0.931 0.208
Pb: 0.404 0.069 0.792
Pm: 0.230 0.897 0.309
Pm: 0.435 0.770 0.691
Pm: 0.770 0.103 0.691
Pm: 0.667 0.667 0.000
Pm: 0.897 0.565 0.309
Pm: 0.565 0.230 0.309
Pm: 0.103 0.435 0.691
Pm: 0.333 0.333 0.000
Nd: 0.000 0.000 0.000

Values from the calculation:
Its space group is R-3. For the formation energy, the calculation gives -399 meV per atom.

***

Q: What is the formula in the fourth record?
A: SrTaBr2